# NaCaAgPd

A relaxed NaCaAgPd crystal (GGA-PBE, Alexandria via LeMat-Bulk).

```
data_NaCaAgPd
_chemical_formula_sum 'Na1 Ca1 Ag1 Pd1'
_symmetry_space_group_name_H-M 'P 1'
_symmetry_Int_Tables_number 1
_symmetry_space_group_name_Hall 'P 1'
_cell_length_a 5.000
_cell_length_b 5.000
_cell_length_c 5.000
_cell_angle_alpha 60.00
_cell_angle_beta 60.00
_cell_angle_gamma 60.00
loop_
_atom_site_label
_atom_site_fract_x
_atom_site_fract_y
_atom_site_fract_z
Ca1 0.750 0.750 0.750
Na1 0.250 0.250 0.250
Ag1 0.500 0.500 0.500
Pd1 0.000 0.000 0.000
```

Total moment = 0.000 μB/atom
SG = F-43m (216)
DOS(E_F) = 0.72 states/eV/f.u.
Energy relative to the elements = -0.26 eV/atom
ρ = 5.2 g/cm3